Model 1:
Here is a relaxed structure of Pr2ZrIn from the Alexandria database. Energies are from PBE.

Cell lengths 3.4418, 3.4418, 9.8797 Å; angles 90.00, 90.00, 90.00 degrees
Sites, in units of the cell vectors:
Pr 0.0000 0.0000 0.2470
Pr 0.0000 0.0000 0.7530
Zr 0.5000 0.5000 0.5000
In 0.5000 0.5000 0.0000

Output
D(E_F): 1.119 states/eV per atom

=====

Model 2:
Here is a relaxed structure of Pr2ZrIn from the Alexandria database. Energies are from PBE.

Cell lengths 4.7895, 4.7895, 4.9056 Å; angles 90.00, 90.00, 90.00 degrees
Sites, in units of the cell vectors:
Pr 0.0000 0.5000 0.0000
Pr 0.5000 0.0000 0.0000
Zr 0.0000 0.0000 0.5000
In 0.5000 0.5000 0.5000

Output
D(E_F): 1.105 states/eV per atom

=====

Model 3:
Here is a relaxed structure of Pr2ZrIn from the Alexandria database. Energies are from PBE.

Cell lengths 12.2407, 12.2407, 12.2407 Å; angles 15.75, 15.75, 15.75 degrees
Sites, in units of the cell vectors:
Pr 0.0883 0.0883 0.0883
Pr 0.9117 0.9117 0.9117
Zr 0.0000 0.0000 0.0000
In 0.5000 0.5000 0.5000

Output
D(E_F): 1.420 states/eV per atom

=====

It turns out model 2 is the most stable, with the second structure 4.7 kJ/mol of atoms higher.

=====

Model 1:
Here is a relaxed structure of InPt4 from the Alexandria database. Energies are from PBE.

Cell lengths 4.9362, 4.9362, 4.9362 Å; angles 99.90, 99.90, 131.02 degrees
Sites, in units of the cell vectors:
In 0.0000 0.0000 0.0000
Pt 0.1965 0.4023 0.5989
Pt 0.4023 0.8035 0.2058
Pt 0.5977 0.1965 0.7942
Pt 0.8035 0.5977 0.4011

Output
D(E_F): 1.276 states/eV per atom

=====

Model 2:
Here is a relaxed structure of InPt4 from the Alexandria database. Energies are from PBE.

Cell lengths 4.8691, 4.8691, 4.8691 Å; angles 90.00, 90.00, 90.00 degrees
Sites, in units of the cell vectors:
In 0.0000 0.0000 0.0000
Pt 0.0000 0.0000 0.5000
Pt 0.0000 0.5000 0.0000
Pt 0.5000 0.0000 0.0000
Pt 0.5000 0.5000 0.5000

Output
D(E_F): 1.318 states/eV per atom

=====

It turns out model 1 is the most stable, with the second structure 160.6 kJ/mol of atoms higher.